[1]
## Ho2ErFe7Co2 (PBE-GGA)

Data for a relaxed structure of Ho2ErFe7Co2.

a = 8.613 Å, b = 8.613 Å, c = 8.613 Å
α = 33.91°, β = 33.91°, γ = 33.91°
Element x y z (fractional)
Co (0.333, 0.333, 0.333)
Fe (0.419, 0.419, 0.918)
Co (0.667, 0.667, 0.667)
Er (0.000, 0.000, 0.000)
Fe (0.500, 0.500, 0.500)
Fe (0.419, 0.918, 0.419)
Fe (0.581, 0.082, 0.581)
Fe (0.082, 0.581, 0.581)
Ho (0.858, 0.858, 0.858)
Ho (0.142, 0.142, 0.142)
Fe (0.581, 0.581, 0.082)
Fe (0.918, 0.419, 0.419)

Computed properties:
As for the space group: No. 166. Its crystal system is trigonal. The formation energy is -112 meV/atom.

[2]
## Hf2Ga2Pd (PBE-GGA)

Data for a relaxed structure of Hf2Ga2Pd.

a = 6.550 Å, b = 6.550 Å, c = 4.145 Å
α = 90.00°, β = 90.00°, γ = 90.00°
Element x y z (fractional)
Pd (0.000, 0.000, 0.000)
Ga (0.637, 0.137, 0.000)
Hf (0.169, 0.669, 0.500)
Hf (0.331, 0.169, 0.500)
Pd (0.500, 0.500, 0.000)
Ga (0.863, 0.637, 0.000)
Ga (0.137, 0.363, 0.000)
Hf (0.831, 0.331, 0.500)
Ga (0.363, 0.863, 0.000)
Hf (0.669, 0.831, 0.500)

Computed properties:
As for the space group: No. 127. Its crystal system is tetragonal.

[3]
## NpBeSn (PBE-GGA)

Data for a relaxed structure of NpBeSn.

a = 4.496 Å, b = 4.496 Å, c = 4.496 Å
α = 60.00°, β = 60.00°, γ = 60.00°
Element x y z (fractional)
Be (0.000, 0.000, 0.000)
Sn (0.750, 0.750, 0.750)
Np (0.250, 0.250, 0.250)

Computed properties:
As for the space group: No. 216. Its crystal system is cubic.

[4]
## RbDyO2 (PBE-GGA)

Data for a relaxed structure of RbDyO2.

a = 7.082 Å, b = 7.156 Å, c = 6.376 Å
α = 90.00°, β = 90.00°, γ = 90.00°
Element x y z (fractional)
Dy (0.364, 0.661, 0.250)
Rb (0.130, 0.103, 0.250)
Rb (0.870, 0.897, 0.750)
O (0.182, 0.750, 0.500)
Dy (0.364, 0.839, 0.750)
O (0.416, 0.365, 0.250)
O (0.584, 0.865, 0.250)
Dy (0.636, 0.161, 0.250)
O (0.182, 0.750, 0.000)
O (0.818, 0.250, 0.000)
Rb (0.870, 0.603, 0.250)
O (0.584, 0.635, 0.750)
Rb (0.130, 0.397, 0.750)
Dy (0.636, 0.339, 0.750)
O (0.818, 0.250, 0.500)
O (0.416, 0.135, 0.750)

Computed properties:
As for the space group: No. 57. Its crystal system is orthorhombic.

[5]
## NdLuFe2Ge2C (PBE-GGA)

Data for a relaxed structure of NdLuFe2Ge2C.

a = 5.744 Å, b = 5.744 Å, c = 6.884 Å
α = 126.09°, β = 126.09°, γ = 40.75°
Element x y z (fractional)
C (0.995, 0.995, 0.987)
Ge (0.165, 0.165, 0.716)
Nd (0.561, 0.561, 0.296)
Ge (0.837, 0.837, 0.290)
Fe (0.803, 0.803, 0.909)
Lu (0.446, 0.446, 0.717)
Fe (0.193, 0.193, 0.085)

Computed properties:
As for the space group: No. 8. Its crystal system is monoclinic.

[6]
## SrPaAsO (PBE-GGA)

Data for a relaxed structure of SrPaAsO.

a = 4.353 Å, b = 4.353 Å, c = 9.282 Å
α = 90.00°, β = 90.00°, γ = 90.00°
Element x y z (fractional)
Pa (0.250, 0.250, 0.118)
Sr (0.750, 0.250, 0.500)
As (0.250, 0.250, 0.737)
Pa (0.750, 0.750, 0.882)
As (0.750, 0.750, 0.263)
O (0.750, 0.250, 0.000)
Sr (0.250, 0.750, 0.500)
O (0.250, 0.750, 0.000)

Computed properties:
As for the space group: No. 129. The energy relative to the lowest polymorph listed for this composition is 0.079 eV per atom. Its crystal system is tetragonal.

[7]
## BaSrZn2Ge2 (PBE-GGA)

Data for a relaxed structure of BaSrZn2Ge2.

a = 4.429 Å, b = 4.429 Å, c = 9.340 Å
α = 90.00°, β = 90.00°, γ = 120.00°
Element x y z (fractional)
Ge (0.333, 0.667, 0.239)
Ge (0.667, 0.333, 0.761)
Zn (0.333, 0.667, 0.763)
Sr (0.000, 0.000, 0.000)
Ba (0.000, 0.000, 0.500)
Zn (0.667, 0.333, 0.237)

Computed properties:
As for the space group: No. 164. Its crystal system is trigonal.

[8]
## LiSmIr (PBE-GGA)

Data for a relaxed structure of LiSmIr.

a = 4.332 Å, b = 4.332 Å, c = 4.332 Å
α = 60.00°, β = 60.00°, γ = 60.00°
Element x y z (fractional)
Sm (0.750, 0.750, 0.750)
Li (0.000, 0.000, 0.000)
Ir (0.250, 0.250, 0.250)

Computed properties:
As for the space group: No. 216. The energy relative to the lowest polymorph listed for this composition is 0.000 eV per atom. Its crystal system is cubic.

| no. | energy (eV/atom) |
| --- | --- |
| 1 | -7.286 |
| 2 | -6.867 |
| 3 | -6.654 |
| 4 | -6.431 |
| 5 | -6.900 |
| 6 | -6.357 |
| 7 | -3.079 |
| 8 | -5.297 |